P) The following is a DFT calculation (PBE) of crystalline RbHoNiS3 at its relaxed geometry.

Unit cell a=10.927 b=4.123 c=11.998 alpha=90.00 beta=90.00 gamma=90.00
Fractional coordinates of all 24 atoms:
1 S 0.277 0.000 0.728
2 S 0.223 0.500 0.228
3 S 0.944 0.000 0.197
4 S 0.056 0.500 0.803
5 S 0.113 0.000 0.447
6 S 0.723 0.500 0.272
7 S 0.444 0.000 0.303
8 S 0.556 0.500 0.697
9 S 0.887 0.500 0.553
10 S 0.387 0.500 0.947
11 S 0.777 0.000 0.772
12 S 0.613 0.000 0.053
13 Rb 0.337 0.500 0.506
14 Rb 0.163 0.000 0.006
15 Rb 0.837 0.500 0.994
16 Rb 0.663 0.000 0.494
17 Ho 0.491 0.500 0.160
18 Ho 0.009 0.000 0.660
19 Ho 0.509 0.000 0.840
20 Ho 0.991 0.500 0.340
21 Ni 0.260 0.500 0.792
22 Ni 0.760 0.500 0.708
23 Ni 0.240 0.000 0.292
24 Ni 0.740 0.000 0.208

volume	22.5	Å³ per atom

---

Q) The following is a DFT calculation (PBE) of crystalline RbHoNiS3 at its relaxed geometry.

Unit cell a=8.986 b=3.923 c=9.422 alpha=90.00 beta=109.54 gamma=90.00
Fractional coordinates of all 12 atoms:
1 Ho 0.172 0.250 0.140
2 Ho 0.828 0.750 0.860
3 S 0.969 0.750 0.160
4 S 0.616 0.250 0.850
5 S 0.675 0.750 0.546
6 S 0.031 0.250 0.840
7 S 0.325 0.250 0.454
8 S 0.384 0.750 0.150
9 Rb 0.709 0.250 0.241
10 Rb 0.291 0.750 0.759
11 Ni 0.423 0.750 0.403
12 Ni 0.577 0.250 0.597

volume	26.1	Å³ per atom

---

The structure with the least stability is P).

---

P) The following is a DFT calculation (PBE) of crystalline HoReNi at its relaxed geometry.

Unit cell a=4.463 b=4.463 c=4.463 alpha=60.00 beta=60.00 gamma=60.00
Fractional coordinates of all 3 atoms:
1 Re 0.750 0.750 0.750
2 Ho 0.000 0.000 0.000
3 Ni 0.250 0.250 0.250

volume	20.9	Å³ per atom

---

Q) The following is a DFT calculation (PBE) of crystalline HoReNi at its relaxed geometry.

Unit cell a=4.317 b=4.317 c=4.317 alpha=60.00 beta=60.00 gamma=60.00
Fractional coordinates of all 3 atoms:
1 Ho 0.250 0.250 0.250
2 Ni 0.000 0.000 0.000
3 Re 0.750 0.750 0.750

volume	19.0	Å³ per atom

---

The structure with the least stability is P).

---

P) The following is a DFT calculation (PBE) of crystalline Ho2SiNi at its relaxed geometry.

Unit cell a=4.098 b=7.226 c=5.611 alpha=90.00 beta=90.00 gamma=90.00
Fractional coordinates of all 8 atoms:
1 Ni 0.000 0.280 0.386
2 Ni 0.500 0.720 0.886
3 Ho 0.500 0.086 0.127
4 Ho 0.000 0.441 0.861
5 Ho 0.000 0.914 0.627
6 Ho 0.500 0.559 0.361
7 Si 0.000 0.793 0.127
8 Si 0.500 0.207 0.627

volume	20.8	Å³ per atom

---

Q) The following is a DFT calculation (PBE) of crystalline Ho2SiNi at its relaxed geometry.

Unit cell a=5.568 b=3.828 c=7.739 alpha=90.00 beta=91.05 gamma=90.00
Fractional coordinates of all 8 atoms:
1 Si 0.370 0.250 0.464
2 Si 0.630 0.750 0.536
3 Ho 0.377 0.750 0.168
4 Ho 0.878 0.250 0.306
5 Ho 0.623 0.250 0.832
6 Ho 0.122 0.750 0.694
7 Ni 0.878 0.750 0.034
8 Ni 0.122 0.250 0.966

volume	20.6	Å³ per atom

---

The structure with the least stability is Q).

---

P) The following is a DFT calculation (PBE) of crystalline Sm3Ho3NiTe2 at its relaxed geometry.

Unit cell a=8.503 b=8.503 c=3.873 alpha=90.00 beta=90.00 gamma=120.00
Fractional coordinates of all 9 atoms:
1 Ho 0.595 0.595 0.000
2 Ho 0.405 0.000 0.000
3 Ho 0.000 0.405 0.000
4 Ni 0.000 0.000 0.000
5 Sm 0.000 0.757 0.500
6 Sm 0.243 0.243 0.500
7 Sm 0.757 0.000 0.500
8 Te 0.333 0.667 0.500
9 Te 0.667 0.333 0.500

volume	26.9	Å³ per atom

---

Q) The following is a DFT calculation (PBE) of crystalline Sm3Ho3NiTe2 at its relaxed geometry.

Unit cell a=8.431 b=8.431 c=3.982 alpha=90.00 beta=90.00 gamma=120.00
Fractional coordinates of all 9 atoms:
1 Sm 0.595 0.595 0.000
2 Sm 0.000 0.405 0.000
3 Sm 0.405 0.000 0.000
4 Te 0.333 0.667 0.500
5 Te 0.667 0.333 0.500
6 Ho 0.236 0.236 0.500
7 Ho 0.000 0.764 0.500
8 Ho 0.764 0.000 0.500
9 Ni 0.000 0.000 0.000

volume	27.2	Å³ per atom

---

The structure with the least stability is P).

---

P) The following is a DFT calculation (PBE) of crystalline TbHoNi4 at its relaxed geometry.

Unit cell a=5.356 b=5.356 c=8.020 alpha=90.00 beta=90.00 gamma=119.98
Fractional coordinates of all 12 atoms:
1 Ni 0.500 0.000 0.728
2 Ni 0.500 0.000 0.272
3 Ni 0.167 0.833 0.500
4 Ni 0.000 0.500 0.728
5 Ni 0.000 0.000 0.272
6 Ni 0.000 0.500 0.272
7 Ni 0.000 0.000 0.728
8 Ni 0.833 0.167 0.500
9 Tb 0.500 0.500 0.500
10 Tb 0.500 0.500 0.000
11 Ho 0.833 0.167 0.000
12 Ho 0.167 0.833 0.000

volume	16.6	Å³ per atom

---

Q) The following is a DFT calculation (PBE) of crystalline TbHoNi4 at its relaxed geometry.

Unit cell a=5.047 b=5.047 c=5.047 alpha=60.00 beta=60.00 gamma=60.00
Fractional coordinates of all 6 atoms:
1 Ni 0.125 0.625 0.125
2 Ni 0.125 0.125 0.125
3 Ni 0.125 0.125 0.625
4 Ni 0.625 0.125 0.125
5 Ho 0.500 0.500 0.500
6 Tb 0.750 0.750 0.750

volume	15.2	Å³ per atom

---

The structure with the least stability is P).

---

P) The following is a DFT calculation (PBE) of crystalline HoTcNi at its relaxed geometry.

Unit cell a=4.334 b=4.334 c=4.334 alpha=60.00 beta=60.00 gamma=60.00
Fractional coordinates of all 3 atoms:
1 Tc 0.750 0.750 0.750
2 Ho 0.250 0.250 0.250
3 Ni 0.000 0.000 0.000

volume	19.2	Å³ per atom

---

Q) The following is a DFT calculation (PBE) of crystalline HoTcNi at its relaxed geometry.

Unit cell a=4.429 b=4.429 c=4.429 alpha=60.00 beta=60.00 gamma=60.00
Fractional coordinates of all 3 atoms:
1 Ni 0.250 0.250 0.250
2 Ho 0.000 0.000 0.000
3 Tc 0.750 0.750 0.750

volume	20.5	Å³ per atom

---

The structure with the least stability is Q).